(1)
Density functional theory data (GGA-PBE) for an optimized crystal structure of Y2TcMo.

The value obtained for the total DFT energy (no corrections) is -7.6523 eV per atom. As for the calculated density: 7.0 Mg/m³. Its calculated volume is 22.04 Å³/atom. The calculation puts the total moment at 0.00 μB/f.u.

It has space group I-42d (No. 122), with a = 7.719 Å, b = 7.719 Å, c = 5.918 Å, α = 90.00°, β = 90.00° and γ = 90.00°. The distinct sites, in fractional coordinates, are Y at (0.235, 0.250, 0.125), Tc at (0.000, 0.000, 0.000) and Mo at (0.000, 0.000, 0.500).

(2)
Density functional theory data (GGA-PBE) for an optimized crystal structure of YTc2Mo.

The value obtained for the total DFT energy (no corrections) is -9.2766 eV per atom. As for the calculated density: 8.7 Mg/m³. Its calculated volume is 18.23 Å³/atom. The calculation puts the total moment at 0.00 μB/f.u.

It has space group P2/m (No. 10), with a = 3.011 Å, b = 4.137 Å, c = 6.008 Å, α = 90.00°, β = 102.99° and γ = 90.00°. The distinct sites, in fractional coordinates, are Y at (0.000, 0.000, 0.000), Tc at (0.296, 0.500, 0.701) and Mo at (0.500, 0.000, 0.500).

(3)
Density functional theory data (GGA-PBE) for an optimized crystal structure of YTcMo2.

The value obtained for the total DFT energy (no corrections) is -8.9846 eV per atom. As for the calculated density: 7.9 Mg/m³. Its calculated volume is 19.81 Å³/atom. The calculation puts the total moment at 0.00 μB/f.u.

It has space group I-42d (No. 122), with a = 7.509 Å, b = 7.509 Å, c = 5.622 Å, α = 90.00°, β = 90.00° and γ = 90.00°. The distinct sites, in fractional coordinates, are Y at (0.000, 0.000, 0.000), Tc at (0.000, 0.000, 0.500) and Mo at (0.200, 0.250, 0.625).

(4)
Density functional theory data (GGA-PBE) for an optimized crystal structure of Y2TcMo.

The value obtained for the total DFT energy (no corrections) is -7.9360 eV per atom. As for the calculated density: 7.4 Mg/m³. Its calculated volume is 20.97 Å³/atom. The calculation puts the total moment at 0.00 μB/f.u.

It has space group C2/m (No. 12), with a = 9.302 Å, b = 2.966 Å, c = 6.093 Å, α = 90.00°, β = 93.71° and γ = 90.00°. The distinct sites, in fractional coordinates, are Y at (0.249, 0.000, 0.253), Tc at (0.000, 0.000, 0.500) and Mo at (0.000, 0.500, 0.000).

What is the calculated density in the first record?
7.0 Mg/m³

Which value of total moment does entry 3 give?
0.00 μB/f.u.